No. 1
{
  "formula": "Th2Cu5Pt",
  "functional": "PBE",
  "state": "relaxed",
  "ef_ev_per_atom": -0.369,
  "sg": "Cmcm (63)",
  "crystal_system": "orthorhombic",
  "lattice": [[4.111, 0.000, 0.000], [-2.055, 7.865, 0.000], [0.000, 0.000, 8.987]],
  "species": ["Th", "Th", "Th", "Th", "Cu", "Cu", "Cu", "Cu", "Cu", "Cu", "Cu", "Cu", "Cu", "Cu", "Pt", "Pt"],
  "fractional_positions": [[0.798, 0.596, 0.750], [0.202, 0.404, 0.250], [0.000, 0.000, 0.000], [0.000, 0.000, 0.500], [0.180, 0.360, 0.885], [0.820, 0.640, 0.115], [0.180, 0.360, 0.615], [0.820, 0.640, 0.385], [0.341, 0.682, 0.983], [0.659, 0.318, 0.017], [0.341, 0.682, 0.517], [0.659, 0.318, 0.483], [0.606, 0.212, 0.750], [0.394, 0.788, 0.250], [0.442, 0.884, 0.750], [0.558, 0.116, 0.250]]
}

No. 2
{
  "formula": "HWCl6",
  "functional": "PBE",
  "state": "relaxed",
  "sg": "P-1 (2)",
  "crystal_system": "triclinic",
  "lattice": [[6.183, -0.388, 2.215], [2.683, 5.897, 2.053], [4.873, 2.813, 8.527]],
  "species": ["H", "W", "Cl", "Cl", "Cl", "Cl", "Cl", "Cl"],
  "fractional_positions": [[0.500, 0.500, 0.500], [0.000, 0.000, 0.000], [0.239, 0.450, 0.741], [0.942, 0.133, 0.753], [0.555, 0.139, 0.194], [0.058, 0.867, 0.247], [0.761, 0.550, 0.259], [0.445, 0.861, 0.806]]
}

No. 3
{
  "formula": "AgAsN2O",
  "functional": "PBE",
  "state": "relaxed",
  "formation_energy_uncorrected_ev_per_atom": 1.0036,
  "sg": "P4/mmm (123)",
  "crystal_system": "tetragonal",
  "lattice": [[3.881, 0.000, 0.000], [0.000, 3.881, 0.000], [0.000, 0.000, 3.769]],
  "species": ["As", "O", "Ag", "N", "N"],
  "fractional_positions": [[0.000, 0.000, 0.000], [0.000, 0.000, 0.500], [0.500, 0.500, 0.500], [0.000, 0.500, 0.000], [0.500, 0.000, 0.000]]
}

No. 4
{
  "formula": "Re2B2Au",
  "functional": "PBE",
  "state": "relaxed",
  "ef_ev_per_atom": 0.371,
  "sg": "P4/mbm (127)",
  "crystal_system": "tetragonal",
  "lattice": [[-2.033, -5.182, -3.154], [-2.609, -2.256, 5.389], [-2.490, 1.363, -0.635]],
  "species": ["Re", "Re", "Re", "Re", "B", "B", "B", "B", "Au", "Au"],
  "fractional_positions": [[0.145, 0.645, 0.500], [0.645, 0.855, 0.500], [0.855, 0.355, 0.500], [0.355, 0.145, 0.500], [0.367, 0.867, 0.000], [0.867, 0.633, 0.000], [0.633, 0.133, 0.000], [0.133, 0.367, 0.000], [0.000, 0.000, 0.000], [0.500, 0.500, 0.000]]
}

Calculated total energy in eV per atom, matching the order above: -5.539 -4.142 -4.818 -7.935